Record 1
{"formula": "CdPS2Cl", "functional": "PBE", "state": "optimized geometry", "cell": [[4.657, 0.000, 0.000], [0.000, 4.657, 0.000], [0.000, 0.000, 4.651]], "species": ["Cd", "P", "S", "S", "Cl"], "fractional_positions": [[0.000, 0.000, 0.000], [0.500, 0.500, 0.500], [0.000, 0.500, 0.500], [0.500, 0.000, 0.500], [0.500, 0.500, 0.000]], "density_kg_m3": 3999, "raw_formation_energy_kj_per_mol_fu": 66.5}



Record 2
{"formula": "CdPSCl2", "functional": "PBE", "state": "optimized geometry", "cell": [[4.775, 0.000, 0.000], [0.000, 4.775, 0.000], [0.000, 0.000, 4.765]], "species": ["Cd", "P", "S", "Cl", "Cl"], "fractional_positions": [[0.000, 0.000, 0.000], [0.500, 0.500, 0.500], [0.500, 0.500, 0.000], [0.000, 0.500, 0.500], [0.500, 0.000, 0.500]], "density_kg_m3": 3766, "raw_formation_energy_kj_per_mol_fu": -9.7}



| no. | total moment (μB/f.u.) | electronic total energy (eV per atom) |
| --- | --- | --- |
| 1 | 0.00 | -3.148 |
| 2 | 0.00 | -2.849 |